First-principles (GGA-PBE) data for CoAuS2Cl after structural relaxation, as listed in Alexandria.

```
CoAuS2Cl
1.0
4.883 0.000 0.000
0.000 4.883 0.000
0.000 0.000 4.846
S Cl Co Au
2 1 1 1
direct
0.500 0.000 0.000
0.000 0.500 0.000
0.000 0.000 0.500
0.500 0.500 0.500
0.000 0.000 0.000
```

Computed properties:
N(E_F)	3.76	states/eV/f.u.
crystal system	tetragonal
distance to the lowest polymorph of the same formula	0.5137	eV/atom
total DFT energy (no corrections)	-3.13	eV/atom
ΔE_f (raw)	962	meV/atom

***

First-principles (GGA-PBE) data for CoAuS2Cl after structural relaxation, as listed in Alexandria.

```
CoAuS2Cl
1.0
-3.033 1.725 2.669
2.037 -1.776 3.463
2.709 4.031 0.473
S Co Au Cl
2 1 1 1
direct
0.500 0.000 0.000
0.000 0.500 0.000
0.000 0.000 0.000
0.500 0.500 0.500
0.000 0.000 0.500
```

Computed properties:
N(E_F)	4.31	states/eV/f.u.
crystal system	tetragonal
distance to the lowest polymorph of the same formula	0.0000	eV/atom
total DFT energy (no corrections)	-3.65	eV/atom
ΔE_f (raw)	448	meV/atom

***

First-principles (GGA-PBE) data for Co2SbAuCl after structural relaxation, as listed in Alexandria.

```
Co2SbAuCl
1.0
4.855 0.000 0.000
0.000 5.196 0.000
0.000 0.000 4.855
Co Cl Au Sb
2 1 1 1
direct
0.500 0.000 0.000
0.000 0.000 0.500
0.000 0.500 0.000
0.500 0.500 0.500
0.000 0.000 0.000
```

Computed properties:
N(E_F)	6.04	states/eV/f.u.
crystal system	tetragonal
total DFT energy (no corrections)	-3.69	eV/atom
ΔE_f (raw)	997	meV/atom

***

First-principles (GGA-PBE) data for TiCoAuCl2 after structural relaxation, as listed in Alexandria.

```
TiCoAuCl2
1.0
4.585 0.000 0.000
0.000 5.240 0.000
0.000 0.000 4.585
Cl Co Ti Au
2 1 1 1
direct
0.500 0.000 0.000
0.000 0.000 0.500
0.000 0.500 0.000
0.000 0.000 0.000
0.500 0.500 0.500
```

Computed properties:
N(E_F)	4.62	states/eV/f.u.
crystal system	tetragonal
total DFT energy (no corrections)	-4.22	eV/atom
ΔE_f (raw)	171	meV/atom

***

First-principles (GGA-PBE) data for TlCo2AuCl8 after structural relaxation, as listed in Alexandria.

```
TlCo2AuCl8
1.0
6.342 0.000 0.000
3.171 5.492 0.000
3.171 1.831 9.289
Cl Au Tl Co
8 1 1 2
direct
0.396 0.718 0.831
0.056 0.396 0.831
0.826 0.826 0.523
0.718 0.056 0.831
0.944 0.604 0.169
0.604 0.282 0.169
0.174 0.174 0.477
0.282 0.944 0.169
0.000 0.000 0.000
0.500 0.500 0.500
0.747 0.747 0.758
0.253 0.253 0.242
```

Computed properties:
N(E_F)	12.54	states/eV/f.u.
crystal system	trigonal
total DFT energy (no corrections)	-3.40	eV/atom
ΔE_f (raw)	-514	meV/atom

***

First-principles (GGA-PBE) data for Cr2AuCl after structural relaxation, as listed in Alexandria.

```
Cr2AuCl
1.0
-2.121 -2.024 -1.639
0.636 -0.915 -3.168
3.357 -7.070 0.925
Au Cr Cl
1 2 1
direct
0.250 0.250 0.250
0.498 0.498 0.502
0.002 0.002 0.998
0.750 0.750 0.750
```

Computed properties:
N(E_F)	3.79	states/eV/f.u.
crystal system	monoclinic
distance to the lowest polymorph of the same formula	0.1250	eV/atom
total DFT energy (no corrections)	-5.86	eV/atom
ΔE_f (raw)	231	meV/atom

***

First-principles (GGA-PBE) data for Cr2AuCl after structural relaxation, as listed in Alexandria.

```
Cr2AuCl
1.0
-3.254 1.675 -3.094
0.986 0.109 -4.688
-2.235 -3.006 -2.989
Cr Au Cl
2 1 1
direct
0.000 0.000 0.000
0.250 0.250 0.250
0.500 0.500 0.500
0.750 0.750 0.750
```

Computed properties:
N(E_F)	2.46	states/eV/f.u.
crystal system	cubic
distance to the lowest polymorph of the same formula	0.6332	eV/atom
total DFT energy (no corrections)	-5.35	eV/atom
ΔE_f (raw)	740	meV/atom

***

First-principles (GGA-PBE) data for Cr2AuCl after structural relaxation, as listed in Alexandria.

```
Cr2AuCl
1.0
-2.896 -3.025 -2.822
-1.858 -2.127 4.187
-7.820 2.488 0.839
Au Cr Cl
2 4 2
direct
0.000 0.000 0.000
0.750 0.250 0.500
0.375 0.412 0.750
0.875 0.838 0.750
0.162 0.625 0.250
0.588 0.125 0.250
0.500 0.500 0.000
0.250 0.750 0.500
```

Computed properties:
N(E_F)	3.67	states/eV/f.u.
crystal system	tetragonal
distance to the lowest polymorph of the same formula	0.4235	eV/atom
total DFT energy (no corrections)	-5.56	eV/atom
ΔE_f (raw)	530	meV/atom

***

First-principles (GGA-PBE) data for Cr2AuCl after structural relaxation, as listed in Alexandria.

```
Cr2AuCl
1.0
4.821 0.000 0.000
0.000 3.165 -0.007
0.000 0.009 4.821
Cr Au Cl
2 1 1
direct
0.500 0.001 0.375
0.000 0.000 0.875
0.000 0.501 0.375
0.500 0.998 0.875
```

Computed properties:
N(E_F)	2.83	states/eV/f.u.
crystal system	tetragonal
distance to the lowest polymorph of the same formula	0.1163	eV/atom
total DFT energy (no corrections)	-5.87	eV/atom
ΔE_f (raw)	223	meV/atom

***

First-principles (GGA-PBE) data for CrAuCl4 after structural relaxation, as listed in Alexandria.

```
CrAuCl4
1.0
0.000 4.116 4.116
4.116 0.000 4.116
4.116 4.116 0.000
Cl Cr Au
4 1 1
direct
0.876 0.375 0.375
0.375 0.375 0.876
0.375 0.375 0.375
0.375 0.876 0.375
0.750 0.750 0.750
0.000 0.000 0.000
```

Computed properties:
N(E_F)	10.50	states/eV/f.u.
crystal system	cubic
total DFT energy (no corrections)	-2.59	eV/atom
ΔE_f (raw)	795	meV/atom

***

First-principles (GGA-PBE) data for Cr2AuCl after structural relaxation, as listed in Alexandria.

```
Cr2AuCl
1.0
-0.779 2.786 -1.480
-2.378 0.483 2.162
4.581 3.537 4.247
Cr Au Cl
2 1 1
direct
0.000 0.000 0.039
0.500 0.500 0.197
0.000 0.000 0.418
0.500 0.500 0.847
```

Computed properties:
N(E_F)	2.28	states/eV/f.u.
crystal system	tetragonal
distance to the lowest polymorph of the same formula	0.0166	eV/atom
total DFT energy (no corrections)	-5.97	eV/atom
ΔE_f (raw)	123	meV/atom

***

First-principles (GGA-PBE) data for Cr2AuCl after structural relaxation, as listed in Alexandria.

```
Cr2AuCl
1.0
-0.828 -7.376 -1.407
1.657 -6.914 2.553
-2.503 7.110 0.502
Cl Cr Au
1 2 1
direct
0.194 0.694 0.500
0.805 0.305 0.500
0.051 0.051 0.000
0.450 0.450 0.000
```

Computed properties:
N(E_F)	3.37	states/eV/f.u.
crystal system	orthorhombic
distance to the lowest polymorph of the same formula	0.1941	eV/atom
total DFT energy (no corrections)	-5.79	eV/atom
ΔE_f (raw)	300	meV/atom